No. 1
The following is a PBE calculation of an optimized crystal structure of Al2TlBr, from the Alexandria database.

Cell lengths 3.3862, 5.3940, 10.7879 Å; angles 90.00, 90.00, 90.00 degrees
Space group Immm (No. 71)
Symmetry-distinct sites (fractional):
1 Al 0.0000 0.0000 0.2466
2 Tl 0.0000 0.5000 0.0000
3 Br 0.0000 0.5000 0.5000

Total energy   -21.98 eV/cell
Calculated density   5.70 Mg/m³
Formation energy without anion corrections   0.5 eV per formula unit


No. 2
The following is a PBE calculation of an optimized crystal structure of AlTl2Br4, from the Alexandria database.

Cell lengths 7.8049, 7.8049, 8.5842 Å; angles 90.00, 90.00, 90.00 degrees
Space group I4/mmm (No. 139)
Symmetry-distinct sites (fractional):
1 Al 0.0000 0.0000 0.0000
2 Tl 0.0000 0.5000 0.2500
3 Br 0.2365 0.2365 0.0000

Total energy   -39.77 eV/cell
Calculated density   4.80 Mg/m³
Formation energy without anion corrections   -4.7 eV per formula unit


No. 3
The following is a PBE calculation of an optimized crystal structure of YAlTlBr2, from the Alexandria database.

Cell lengths 5.4481, 5.4481, 6.4498 Å; angles 90.00, 90.00, 90.00 degrees
Space group P4/mmm (No. 123)
Symmetry-distinct sites (fractional):
1 Y 0.0000 0.0000 0.0000
2 Al 0.5000 0.5000 0.5000
3 Tl 0.0000 0.0000 0.5000
4 Br 0.0000 0.5000 0.0000

Total energy   -17.75 eV/cell
Calculated density   4.16 Mg/m³
Formation energy without anion corrections   -1.8 eV per formula unit


No. 4
The following is a PBE calculation of an optimized crystal structure of AlTlZn2Br, from the Alexandria database.

Cell lengths 4.9624, 4.9624, 5.7305 Å; angles 90.00, 90.00, 90.00 degrees
Space group P4/mmm (No. 123)
Symmetry-distinct sites (fractional):
1 Al 0.0000 0.0000 0.0000
2 Tl 0.0000 0.0000 0.5000
3 Zn 0.0000 0.5000 0.0000
4 Br 0.5000 0.5000 0.5000

Total energy   -10.24 eV/cell
Calculated density   5.20 Mg/m³
Formation energy without anion corrections   0.1 eV per formula unit


No. 5
The following is a PBE calculation of an optimized crystal structure of TmAlBr6, from the Alexandria database.

Cell lengths 6.5810, 13.6000, 6.5786 Å; angles 90.00, 107.76, 90.00 degrees
Space group C2/m (No. 12)
Symmetry-distinct sites (fractional):
1 Tm 0.0000 0.0000 0.0000
2 Al 0.0000 0.5000 0.5000
3 Br 0.2262 0.3669 0.7262
4 Br 0.2423 0.5000 0.2576

Total energy   -58.54 eV/cell
Calculated density   4.00 Mg/m³
Formation energy without anion corrections   -11.0 eV per formula unit


No. 6
The following is a PBE calculation of an optimized crystal structure of TmAlBr, from the Alexandria database.

Cell lengths 6.6851, 3.8576, 13.2838 Å; angles 90.00, 97.85, 90.00 degrees
Space group C2/m (No. 12)
Symmetry-distinct sites (fractional):
1 Tm 0.1107 0.0000 0.2940
2 Al 0.1812 0.0000 0.5538
3 Br 0.0937 0.5000 0.8453

Total energy   -50.26 eV/cell
Calculated density   5.40 Mg/m³
Formation energy without anion corrections   -2.7 eV per formula unit


No. 7
The following is a PBE calculation of an optimized crystal structure of UAl2Br8, from the Alexandria database.

Cell lengths 13.8822, 9.6198, 6.8708 Å; angles 90.00, 99.14, 90.00 degrees
Space group C2/m (No. 12)
Symmetry-distinct sites (fractional):
1 U 0.0000 0.0000 0.0000
2 Al 0.1951 0.0000 0.6506
3 Br 0.1052 0.1891 0.7579
4 Br 0.1434 0.5000 0.2147
5 Br 0.1824 0.0000 0.2946

Total energy   -86.07 eV/cell
Calculated density   3.41 Mg/m³
Formation energy without anion corrections   -10.9 eV per formula unit


No. 8
The following is a PBE calculation of an optimized crystal structure of Al2VBr, from the Alexandria database.

Cell lengths 6.8248, 6.8248, 6.8248 Å; angles 90.00, 90.00, 90.00 degrees
Space group Fm-3m (No. 225)
Symmetry-distinct sites (fractional):
1 Al 0.2500 0.2500 0.2500
2 V 0.0000 0.0000 0.0000
3 Br 0.0000 0.0000 0.5000

Total energy   -61.07 eV/cell
Calculated density   3.86 Mg/m³
Formation energy without anion corrections   3.0 eV per formula unit


No. 9
The following is a PBE calculation of an optimized crystal structure of Al2VBr, from the Alexandria database.

Cell lengths 7.6848, 7.6848, 5.6129 Å; angles 90.00, 90.00, 90.00 degrees
Space group I-42d (No. 122)
Symmetry-distinct sites (fractional):
1 Al 0.2320 0.2500 0.1250
2 V 0.0000 0.0000 0.0000
3 Br 0.0000 0.0000 0.5000

Total energy   -64.64 eV/cell
Calculated density   3.70 Mg/m³
Formation energy without anion corrections   2.1 eV per formula unit


No. 10
The following is a PBE calculation of an optimized crystal structure of YAlV2Br, from the Alexandria database.

Cell lengths 4.6260, 4.6260, 5.2060 Å; angles 90.00, 90.00, 90.00 degrees
Space group P4/mmm (No. 123)
Symmetry-distinct sites (fractional):
1 Y 0.0000 0.0000 0.0000
2 Al 0.5000 0.5000 0.0000
3 V 0.0000 0.5000 0.5000
4 Br 0.0000 0.0000 0.5000

Total energy   -26.92 eV/cell
Calculated density   4.44 Mg/m³
Formation energy without anion corrections   3.2 eV per formula unit


No. 11
The following is a PBE calculation of an optimized crystal structure of AlV2ZnBr, from the Alexandria database.

Cell lengths 4.6144, 4.6144, 4.8884 Å; angles 90.00, 90.00, 90.00 degrees
Space group P4/mmm (No. 123)
Symmetry-distinct sites (fractional):
1 Al 0.0000 0.0000 0.0000
2 V 0.0000 0.5000 0.5000
3 Zn 0.5000 0.5000 0.0000
4 Br 0.5000 0.5000 0.5000

Total energy   -19.52 eV/cell
Calculated density   4.37 Mg/m³
Formation energy without anion corrections   5.4 eV per formula unit


No. 12
The following is a PBE calculation of an optimized crystal structure of AlWBr2, from the Alexandria database.

Cell lengths 3.7180, 3.4070, 8.1794 Å; angles 90.00, 102.90, 90.00 degrees
Space group Pm (No. 6)
Symmetry-distinct sites (fractional):
1 Al 0.0000 0.0000 0.0000
2 W 0.5393 0.5000 0.0799
3 Br 0.3822 0.5000 0.7569
4 Br 0.6606 0.0000 0.3275

Total energy   -19.97 eV/cell
Calculated density   6.09 Mg/m³
Formation energy without anion corrections   0.1 eV per formula unit


No. 13
The following is a PBE calculation of an optimized crystal structure of AlWBr, from the Alexandria database.

Cell lengths 6.3383, 6.3383, 6.3383 Å; angles 90.00, 90.00, 90.00 degrees
Space group F-43m (No. 216)
Symmetry-distinct sites (fractional):
1 Al 0.0000 0.0000 0.0000
2 W 0.2500 0.2500 0.7500
3 Br 0.0000 0.0000 0.5000

Total energy   -57.98 eV/cell
Calculated density   7.58 Mg/m³
Formation energy without anion corrections   3.9 eV per formula unit


No. 14
The following is a PBE calculation of an optimized crystal structure of AlWBr2, from the Alexandria database.

Cell lengths 6.6549, 6.6549, 6.6549 Å; angles 90.00, 90.00, 90.00 degrees
Space group Fm-3m (No. 225)
Symmetry-distinct sites (fractional):
1 Al 0.0000 0.0000 0.0000
2 W 0.0000 0.0000 0.5000
3 Br 0.2500 0.2500 0.2500

Total energy   -63.35 eV/cell
Calculated density   8.35 Mg/m³
Formation energy without anion corrections   4.2 eV per formula unit


No. 15
The following is a PBE calculation of an optimized crystal structure of AlW2Br, from the Alexandria database.

Cell lengths 2.8618, 4.7685, 5.0662 Å; angles 90.00, 90.00, 90.00 degrees
Space group Pmmm (No. 47)
Symmetry-distinct sites (fractional):
1 Al 0.0000 0.0000 0.0000
2 W 0.0000 0.5000 0.5000
3 W 0.5000 0.5000 0.0000
4 Br 0.5000 0.0000 0.5000

Total energy   -27.87 eV/cell
Calculated density   11.40 Mg/m³
Formation energy without anion corrections   3.5 eV per formula unit


No. 16
The following is a PBE calculation of an optimized crystal structure of Al2WBr, from the Alexandria database.

Cell lengths 2.9368, 4.3984, 13.0230 Å; angles 90.00, 90.00, 90.00 degrees
Space group Imm2 (No. 44)
Symmetry-distinct sites (fractional):
1 Al 0.0000 0.0000 0.0000
2 Al 0.0000 0.5000 0.1369
3 W 0.0000 0.0000 0.4607
4 Br 0.0000 0.5000 0.7968

Total energy   -41.26 eV/cell
Calculated density   6.27 Mg/m³
Formation energy without anion corrections   1.5 eV per formula unit


No. 17
The following is a PBE calculation of an optimized crystal structure of AlWBr2, from the Alexandria database.

Cell lengths 3.1282, 3.1282, 9.0392 Å; angles 90.00, 90.00, 90.00 degrees
Space group P4/mmm (No. 123)
Symmetry-distinct sites (fractional):
1 Al 0.0000 0.0000 0.0000
2 W 0.0000 0.0000 0.5000
3 Br 0.5000 0.5000 0.3202

Total energy   -16.68 eV/cell
Calculated density   6.96 Mg/m³
Formation energy without anion corrections   3.4 eV per formula unit


No. 18
The following is a PBE calculation of an optimized crystal structure of AlW2Br, from the Alexandria database.

Cell lengths 3.9338, 3.9338, 4.4199 Å; angles 90.00, 90.00, 90.00 degrees
Space group P4/mmm (No. 123)
Symmetry-distinct sites (fractional):
1 Al 0.0000 0.0000 0.0000
2 W 0.0000 0.5000 0.5000
3 Br 0.5000 0.5000 0.0000

Total energy   -26.45 eV/cell
Calculated density   11.52 Mg/m³
Formation energy without anion corrections   4.9 eV per formula unit


No. 19
The following is a PBE calculation of an optimized crystal structure of AlWBr2, from the Alexandria database.

Cell lengths 3.3674, 3.9364, 15.4249 Å; angles 90.00, 90.00, 90.00 degrees
Space group Immm (No. 71)
Symmetry-distinct sites (fractional):
1 Al 0.0000 0.0000 0.0000
2 W 0.0000 0.0000 0.5000
3 Br 0.0000 0.5000 0.1396

Total energy   -38.51 eV/cell
Calculated density   6.02 Mg/m³
Formation energy without anion corrections   0.8 eV per formula unit


No. 20
The following is a PBE calculation of an optimized crystal structure of Al4WBr, from the Alexandria database.

Cell lengths 7.4356, 7.4356, 7.4356 Å; angles 90.00, 90.00, 90.00 degrees
Space group F-43m (No. 216)
Symmetry-distinct sites (fractional):
1 Al 0.1253 0.1253 0.1253
2 W 0.0000 0.0000 0.5000
3 Br 0.2500 0.2500 0.7500

Total energy   -107.07 eV/cell
Calculated density   6.00 Mg/m³
Formation energy without anion corrections   2.8 eV per formula unit


No. 21
The following is a PBE calculation of an optimized crystal structure of Al2WBr, from the Alexandria database.

Cell lengths 3.0091, 3.0091, 29.6483 Å; angles 90.00, 90.00, 120.00 degrees
Space group R3m (No. 160, hexagonal axes)
Symmetry-distinct sites (fractional):
1 Al 0.0000 0.0000 0.0000
2 Al 0.0000 0.0000 0.2561
3 W 0.0000 0.0000 0.7395
4 Br 0.0000 0.0000 0.4723

Total energy   -62.79 eV/cell
Calculated density   6.81 Mg/m³
Formation energy without anion corrections   1.2 eV per formula unit


No. 22
The following is a PBE calculation of an optimized crystal structure of AlWBr, from the Alexandria database.

Cell lengths 2.9191, 5.3847, 15.8577 Å; angles 90.00, 90.00, 90.00 degrees
Space group Fmm2 (No. 42)
Symmetry-distinct sites (fractional):
1 Al 0.0000 0.0000 0.0000
2 W 0.0000 0.0000 0.3559
3 Br 0.0000 0.0000 0.7217

Total energy   -65.48 eV/cell
Calculated density   7.75 Mg/m³
Formation energy without anion corrections   2.0 eV per formula unit


No. 23
The following is a PBE calculation of an optimized crystal structure of AlW2Br, from the Alexandria database.

Cell lengths 3.8876, 3.8876, 9.0683 Å; angles 90.00, 90.00, 90.00 degrees
Space group I4/mmm (No. 139)
Symmetry-distinct sites (fractional):
1 Al 0.0000 0.0000 0.0000
2 W 0.0000 0.5000 0.2500
3 Br 0.0000 0.0000 0.5000

Total energy   -52.88 eV/cell
Calculated density   11.50 Mg/m³
Formation energy without anion corrections   4.9 eV per formula unit


No. 24
The following is a PBE calculation of an optimized crystal structure of Al2WBr, from the Alexandria database.

Cell lengths 3.1686, 3.1686, 7.5635 Å; angles 90.00, 90.00, 90.00 degrees
Space group P4/mmm (No. 123)
Symmetry-distinct sites (fractional):
1 Al 0.0000 0.0000 0.1946
2 W 0.5000 0.5000 0.0000
3 Br 0.5000 0.5000 0.5000

Total energy   -21.13 eV/cell
Calculated density   6.95 Mg/m³
Formation energy without anion corrections   1.0 eV per formula unit


No. 25
The following is a PBE calculation of an optimized crystal structure of AlWBr4, from the Alexandria database.

Cell lengths 8.8663, 8.8663, 8.8663 Å; angles 90.00, 90.00, 90.00 degrees
Space group F-43m (No. 216)
Symmetry-distinct sites (fractional):
1 Al 0.0000 0.0000 0.0000
2 W 0.2500 0.2500 0.2500
3 Br 0.1242 0.1242 0.6242

Total energy   -59.06 eV/cell
Calculated density   5.05 Mg/m³
Formation energy without anion corrections   8.6 eV per formula unit


No. 26
The following is a PBE calculation of an optimized crystal structure of Al2WBr, from the Alexandria database.

Cell lengths 3.1173, 4.8383, 9.1434 Å; angles 90.00, 90.00, 90.00 degrees
Space group Immm (No. 71)
Symmetry-distinct sites (fractional):
1 Al 0.0000 0.0000 0.2403
2 W 0.0000 0.5000 0.5000
3 Br 0.0000 0.5000 0.0000

Total energy   -39.45 eV/cell
Calculated density   7.65 Mg/m³
Formation energy without anion corrections   2.4 eV per formula unit


No. 27
The following is a PBE calculation of an optimized crystal structure of Al2WBr, from the Alexandria database.

Cell lengths 2.9959, 4.5876, 5.3202 Å; angles 90.00, 106.26, 90.00 degrees
Space group Pm (No. 6)
Symmetry-distinct sites (fractional):
1 Al 0.0000 0.0000 0.0000
2 Al 0.3240 0.5000 0.6519
3 W 0.7424 0.0000 0.4895
4 Br 0.5801 0.5000 0.1626

Total energy   -20.62 eV/cell
Calculated density   7.52 Mg/m³
Formation energy without anion corrections   1.5 eV per formula unit


No. 28
The following is a PBE calculation of an optimized crystal structure of AlWBr2, from the Alexandria database.

Cell lengths 6.0635, 9.4557, 3.1477 Å; angles 90.00, 116.88, 90.00 degrees
Space group C2/m (No. 12)
Symmetry-distinct sites (fractional):
1 Al 0.0000 0.0000 0.0000
2 W 0.0000 0.5000 0.0000
3 Br 0.2500 0.2500 0.0000

Total energy   -33.12 eV/cell
Calculated density   7.65 Mg/m³
Formation energy without anion corrections   3.5 eV per formula unit


No. 29
The following is a PBE calculation of an optimized crystal structure of Al3WBr, from the Alexandria database.

Cell lengths 4.7603, 4.7603, 4.7603 Å; angles 90.00, 90.00, 90.00 degrees
Space group Pm-3m (No. 221)
Symmetry-distinct sites (fractional):
1 Al 0.0000 0.0000 0.5000
2 W 0.5000 0.5000 0.5000
3 Br 0.0000 0.0000 0.0000

Total energy   -17.63 eV/cell
Calculated density   5.31 Mg/m³
Formation energy without anion corrections   8.2 eV per formula unit